Computed, not measured: crystalline Mg2Tl at its relaxed geometry at the GGA-PBE level of DFT.

Values from the calculation:
Calculated formation energy (eV per atom): -0.03
SG: Immm (71)
Theoretical density (g/cm³): 5.84

Structure (POSCAR):
```
Mg2Tl
1.0
5.568 0.014 0.041
2.760 4.836 -0.041
-3.782 -3.081 2.685
Mg Tl
2 1
Direct
0.333 0.333 0.000
0.667 0.667 0.000
0.000 0.000 0.000
```